(1)
DFT (PBE-GGA) results for an optimized crystal structure of KFeIr.

Properties
Energy above the most stable polymorph in this dataset ... 121.0 kJ/mol of atoms
ΔH_f (0 K) ... 1601 meV per atom
Density ... 3.758 g cm⁻³
DOS at the Fermi energy ... 8.17 states/eV per cell
Magnetic moment ... 1.183 μB per atom
Symmetry ... P6_3/mmc, No. 194

Cell lengths 5.7418, 5.7418, 8.8894 Å; angles 90.00, 90.00, 120.00 degrees
Site moments in Bohr magnetons follow the coordinates.
Sites, in units of the cell vectors:
1 K 0.3333 0.6667 0.2500  0.00
2 K 0.6667 0.3333 0.7500  0.00
3 Ir 0.0000 0.0000 0.0000  0.67
4 Ir 0.0000 0.0000 0.5000  0.67
5 Fe 0.0000 0.0000 0.2500  2.60
6 Fe 0.0000 0.0000 0.7500  2.60

***

(2)
DFT (PBE-GGA) results for an optimized crystal structure of KFeIr.

Properties
Energy above the most stable polymorph in this dataset ... 3.0 kJ/mol of atoms
ΔH_f (0 K) ... 378 meV per atom
Density ... 7.026 g cm⁻³
DOS at the Fermi energy ... 5.70 states/eV per cell
Magnetic moment ... 0.906 μB per atom
Symmetry ... P2_1/m, No. 11

Cell lengths 6.4563, 4.3378, 4.9961 Å; angles 90.00, 104.06, 90.00 degrees
Site moments in Bohr magnetons follow the coordinates.
Sites, in units of the cell vectors:
1 K 0.5540 0.2500 0.2620  -0.01
2 K 0.4460 0.7500 0.7380  -0.01
3 Ir 0.0525 0.2500 0.3835  0.23
4 Ir 0.9475 0.7500 0.6165  0.23
5 Fe 0.0009 0.2500 0.8723  2.54
6 Fe 0.9991 0.7500 0.1277  2.54

***

(3)
DFT (PBE-GGA) results for an optimized crystal structure of KFeIr.

Properties
Energy above the most stable polymorph in this dataset ... 17.8 kJ/mol of atoms
ΔH_f (0 K) ... 532 meV per atom
Density ... 6.581 g cm⁻³
DOS at the Fermi energy ... 7.77 states/eV per cell
Magnetic moment ... 0.810 μB per atom
Symmetry ... P4/nmm, No. 129

Cell lengths 4.3957, 4.3957, 7.4992 Å; angles 90.00, 90.00, 90.00 degrees
Site moments in Bohr magnetons follow the coordinates.
Sites, in units of the cell vectors:
1 K 0.0000 0.5000 0.1504  0.00
2 K 0.5000 0.0000 0.8496  0.00
3 Ir 0.0000 0.5000 0.6275  0.26
4 Ir 0.5000 0.0000 0.3725  0.26
5 Fe 0.0000 0.0000 0.5000  2.12
6 Fe 0.5000 0.5000 0.5000  2.12

***

(4)
DFT (PBE-GGA) results for an optimized crystal structure of KFeIr.

Properties
Energy above the most stable polymorph in this dataset ... 17.0 kJ/mol of atoms
ΔH_f (0 K) ... 524 meV per atom
Density ... 7.564 g cm⁻³
DOS at the Fermi energy ... 6.43 states/eV per cell
Magnetic moment ... 0.000 μB per atom
Symmetry ... Cm, No. 8

Cell lengths 13.1327, 6.3967, 6.3967 Å; angles 141.09, 151.00, 29.00 degrees
Sites, in units of the cell vectors:
1 K 0.8641 0.2459 0.7541
2 K 0.3663 0.2052 0.7948
3 Ir 0.3526 0.9591 0.0409
4 Ir 0.6487 0.1867 0.8133
5 Fe 0.8711 0.4920 0.5080
6 Fe 0.1308 0.7189 0.2811

***

(5)
DFT (PBE-GGA) results for an optimized crystal structure of KFeIr.

Properties
Energy above the most stable polymorph in this dataset ... 22.5 kJ/mol of atoms
ΔH_f (0 K) ... 581 meV per atom
Density ... 7.140 g cm⁻³
DOS at the Fermi energy ... 3.41 states/eV per cell
Magnetic moment ... 1.122 μB per atom
Symmetry ... I4mm, No. 107

Cell lengths 6.5529, 6.5529, 6.5529 Å; angles 150.81, 150.81, 41.76 degrees
Site moments in Bohr magnetons follow the coordinates.
Sites, in units of the cell vectors:
1 Fe 0.9450 0.9450 0.0000  2.79
2 Ir 0.3859 0.3859 0.0000  0.53
3 K 0.6692 0.6692 0.0000  -0.01

***

(6)
DFT (PBE-GGA) results for an optimized crystal structure of K3FeIr.

Properties
Energy above the most stable polymorph in this dataset ... 0.0 kJ/mol of atoms
ΔH_f (0 K) ... 1330 meV per atom
Density ... 2.632 g cm⁻³
DOS at the Fermi energy ... 35.94 states/eV per cell
Magnetic moment ... 0.800 μB per atom
Symmetry ... Pm-3m, No. 221

Cell lengths 6.1310, 6.1310, 6.1310 Å; angles 90.00, 90.00, 90.00 degrees
Site moments in Bohr magnetons follow the coordinates.
Sites, in units of the cell vectors:
1 K 0.0000 0.5000 0.0000  0.00
2 K 0.0000 0.0000 0.5000  -0.01
3 K 0.5000 0.0000 0.0000  0.00
4 Ir 0.0000 0.0000 0.0000  0.80
5 Fe 0.5000 0.5000 0.5000  3.19